Entry 1:
VASP calculation (SCAN) on a crystal of Zr3TiIr relaxed with PBEsol.

a b c (Å): 4.717 4.717 4.717
angles (deg): 90.00 90.00 90.00
Element x y z (fractional)
1 Zr 0.000 0.000 0.500
2 Ir 0.500 0.500 0.500
3 Zr 0.000 0.500 0.000
4 Ti 0.000 0.000 0.000
5 Zr 0.500 0.000 0.000

**V**: 104.9 Å³/f.u.
**DFT formation energy**: 0.897 eV per atom
**Total magnetic moment**: 0.0 Bohr magnetons per cell
**Polymorph energy (0 for the lowest one)**: 68.8 kJ/mol of atoms
**Energy**: -34.95 eV per atom

Entry 2:
VASP calculation (SCAN) on a crystal of YCoAsSe2 relaxed with PBEsol.

a b c (Å): 4.259 4.855 4.855
angles (deg): 90.00 90.00 90.00
Element x y z (fractional)
1 Y 0.500 0.500 0.500
2 Co 0.000 0.000 0.000
3 Se 0.000 0.500 0.000
4 Se 0.000 0.000 0.500
5 As 0.500 0.000 0.000

**V**: 100.4 Å³/f.u.
**Total magnetic moment**: 0.0 Bohr magnetons per cell
**Energy**: -21.60 eV per atom
**Formation energy from raw total energies**: -2.5 eV/f.u.

Entry 3:
VASP calculation (SCAN) on a crystal of SrLi2W relaxed with PBEsol.

a b c (Å): 2.736 5.213 5.778
angles (deg): 95.07 90.00 105.21
Element x y z (fractional)
1 Li 0.002 0.004 0.025
2 W 0.747 0.494 0.206
3 Li 0.257 0.514 0.768
4 Sr 0.494 0.988 0.500

**V**: 79.2 Å³/f.u.
**DFT formation energy**: 0.978 eV per atom
**Total magnetic moment**: 0.7 Bohr magnetons per cell
**Polymorph energy (0 for the lowest one)**: 2.4 kJ/mol of atoms
**Energy**: -23.21 eV per atom